DFT (PBE-GGA) results for crystalline ZnHgRh at its relaxed geometry.

Cell lengths 3.1429, 3.1429, 10.1251 Å; angles 90.00, 90.00, 90.00 degrees
Last column: nearest neighbours and their distance in Å.
Positions (direct):
Zn  0.0000  0.0000  0.0000  4 Rh 2.56
Zn  0.5000  0.5000  0.5000  4 Rh 2.56
Hg  0.0000  0.0000  0.6906  5 Rh 2.90-3.21, 5 Zn 2.94-3.13, 4 Hg 3.14
Hg  0.5000  0.5000  0.1906  5 Rh 2.90-3.21, 5 Zn 2.94-3.13, 4 Hg 3.14
Rh  0.0000  0.0000  0.3739  4 Zn 2.56
Rh  0.5000  0.5000  0.8739  4 Zn 2.56

Total magnetization: 0.0 Bohr magnetons per cell
Final energy: -18.30 eV/cell
Formation energy: -0.074 eV per atom
Distance to the lowest polymorph of the same formula: 0 meV/atom